The following is a DFT calculation (PBE) of a geometry-optimized K2RbAu structure.

Lattice parameters (Å, degrees): 5.319 5.319 27.853 90.00 90.00 120.00
Fractional positions:
1 K 0.000 0.000 0.000
2 K 0.000 0.000 0.232
3 K 0.333 0.667 0.667
4 K 0.333 0.667 0.898
5 K 0.667 0.333 0.333
6 K 0.667 0.333 0.565
7 Rb 0.000 0.000 0.454
8 Rb 0.333 0.667 0.121
9 Rb 0.667 0.333 0.788
10 Au 0.000 0.000 0.612
11 Au 0.333 0.667 0.279
12 Au 0.667 0.333 0.946

=====

The following is a DFT calculation (PBE) of a geometry-optimized RbAl3Pb structure.

Lattice parameters (Å, degrees): 5.711 5.711 5.711 90.00 90.00 90.00
Fractional positions:
1 Rb 0.000 0.000 0.000
2 Al 0.000 0.500 0.500
3 Al 0.500 0.000 0.500
4 Al 0.500 0.500 0.000
5 Pb 0.500 0.500 0.500

=====

The following is a DFT calculation (PBE) of a geometry-optimized Cs2K2Rh structure.

Lattice parameters (Å, degrees): 5.082 5.082 24.902 90.00 90.00 90.00
Fractional positions:
1 Cs 0.000 0.000 0.075
2 Cs 0.000 0.000 0.925
3 Cs 0.500 0.500 0.425
4 Cs 0.500 0.500 0.575
5 K 0.000 0.500 0.250
6 K 0.000 0.500 0.750
7 K 0.500 0.000 0.250
8 K 0.500 0.000 0.750
9 Rh 0.000 0.000 0.500
10 Rh 0.500 0.500 0.000

=====

no.,relative energy among the computed polymorphs (eV/atom),ΔE_f (eV/atom)
1,0.0505,-0.12
2,0.0000,0.71
3,0.2273,0.74